DFT (PBE) results for an optimized crystal structure of LiSc2Sb.

Geometry as CIF:
```
data_LiSc2Sb
_space_group_name_H-M_alt 'P 1'
_space_group_IT_number 1
_space_group_name_Hall 'P 1'
_cell_length_a 7.817
_cell_length_b 7.817
_cell_length_c 6.287
_cell_angle_alpha 51.56
_cell_angle_beta 51.56
_cell_angle_gamma 90.00
loop_
_atom_site_label
_atom_site_fract_x
_atom_site_fract_y
_atom_site_fract_z
_atom_site_occupancy
Sc1 0.618 0.125 0.250 1
Sc2 0.132 0.625 0.250 1
Sc3 0.375 0.382 0.750 1
Sc4 0.875 0.868 0.750 1
Sb1 0.000 0.000 0.000 1
Sb2 0.750 0.250 0.500 1
Li1 0.500 0.500 0.000 1
Li2 0.250 0.750 0.500 1
```

Output
Crystal system: tetragonal
Formation energy (no corrections), eV per formula unit: -0.49

***

DFT (PBE) results for an optimized crystal structure of LiSc2Sb.

Geometry as CIF:
```
data_LiSc2Sb
_space_group_name_H-M_alt 'P 1'
_space_group_IT_number 1
_space_group_name_Hall 'P 1'
_cell_length_a 3.870
_cell_length_b 3.870
_cell_length_c 6.053
_cell_angle_alpha 90.00
_cell_angle_beta 90.00
_cell_angle_gamma 90.00
loop_
_atom_site_label
_atom_site_fract_x
_atom_site_fract_y
_atom_site_fract_z
_atom_site_occupancy
Li1 0.000 0.000 0.507 1
Sb1 0.500 0.500 0.760 1
Sc1 0.000 0.000 0.976 1
Sc2 0.500 0.500 0.258 1
```

Output
Crystal system: tetragonal
Formation energy (no corrections), eV per formula unit: -1.47